Record 1
Density functional theory data (GGA-PBEsol) for a geometry-optimized TcIr structure. Values from VASP.

Cell and atoms, written as Quantum ESPRESSO input:
```
&SYSTEM
  ibrav = 0, nat = 6, ntyp = 2
/
ATOMIC_SPECIES
Ir 192.22 Ir.upf
Tc 98.00 Tc.upf
ATOMIC_POSITIONS crystal
Ir 0.004 0.009 0.001
Ir 0.330 0.660 0.665
Ir 0.388 0.777 0.279
Tc 0.054 0.108 0.611
Tc 0.723 0.447 0.944
Tc 0.667 0.333 0.333
CELL_PARAMETERS angstrom
-1.024 -2.377 -0.820
5.073 -0.642 0.019
-1.681 -1.362 6.044
```

Results
- Crystal system: monoclinic
- Space group: Cm
- Energy relative to the lowest polymorph listed for this composition: 0.13 eV per formula unit
- Energy of formation: -24 kJ/mol of atoms

Record 2
Density functional theory data (GGA-PBEsol) for a geometry-optimized TcTe2Ir structure. Values from VASP.

Cell and atoms, written as Quantum ESPRESSO input:
```
&SYSTEM
  ibrav = 0, nat = 4, ntyp = 3
/
ATOMIC_SPECIES
Te 127.60 Te.upf
Ir 192.22 Ir.upf
Tc 98.00 Tc.upf
ATOMIC_POSITIONS crystal
Te 0.905 0.905 0.284
Ir 0.000 0.000 0.000
Tc 0.500 0.500 0.500
Te 0.095 0.095 0.716
CELL_PARAMETERS angstrom
3.219 0.000 0.000
1.610 2.788 0.000
1.610 0.929 8.816
```

Results
- Crystal system: trigonal
- Space group: R-3m
- Energy relative to the lowest polymorph listed for this composition: 1.95 eV per formula unit

Record 3
Density functional theory data (GGA-PBEsol) for a geometry-optimized TcTe2Ir structure. Values from VASP.

Cell and atoms, written as Quantum ESPRESSO input:
```
&SYSTEM
  ibrav = 0, nat = 4, ntyp = 3
/
ATOMIC_SPECIES
Te 127.60 Te.upf
Ir 192.22 Ir.upf
Tc 98.00 Tc.upf
ATOMIC_POSITIONS crystal
Te 0.763 0.000 0.748
Ir 0.500 0.500 0.500
Tc 0.000 0.500 0.000
Te 0.237 0.000 0.252
CELL_PARAMETERS angstrom
-1.243 -0.136 -2.728
4.157 -0.172 -1.885
-0.089 -5.416 0.298
```

Results
- Crystal system: monoclinic
- Space group: P2/m
- Energy relative to the lowest polymorph listed for this composition: 3.19 eV per formula unit

Record 4
Density functional theory data (GGA-PBEsol) for a geometry-optimized TcTe2Ir structure. Values from VASP.

Cell and atoms, written as Quantum ESPRESSO input:
```
&SYSTEM
  ibrav = 0, nat = 4, ntyp = 3
/
ATOMIC_SPECIES
Tc 98.00 Tc.upf
Ir 192.22 Ir.upf
Te 127.60 Te.upf
ATOMIC_POSITIONS crystal
Tc 0.000 0.000 0.500
Ir 0.500 0.500 0.500
Te 0.000 0.500 0.230
Te 0.500 0.000 0.770
CELL_PARAMETERS angstrom
-1.382 3.523 1.433
-2.450 0.342 -3.203
-4.306 -2.903 2.984
```

Results
- Crystal system: tetragonal
- Space group: P-4m2
- Energy relative to the lowest polymorph listed for this composition: 0.00 eV per formula unit

Record 5
Density functional theory data (GGA-PBEsol) for a geometry-optimized TcTe2Ir structure. Values from VASP.

Cell and atoms, written as Quantum ESPRESSO input:
```
&SYSTEM
  ibrav = 0, nat = 4, ntyp = 3
/
ATOMIC_SPECIES
Tc 98.00 Tc.upf
Ir 192.22 Ir.upf
Te 127.60 Te.upf
ATOMIC_POSITIONS crystal
Tc 0.500 0.000 0.000
Ir 0.000 0.000 0.500
Te 0.756 0.513 0.756
Te 0.244 0.487 0.244
CELL_PARAMETERS angstrom
3.265 0.000 0.000
-1.633 4.149 0.013
0.000 -1.242 5.385
```

Results
- Crystal system: monoclinic
- Space group: C2/m
- Energy relative to the lowest polymorph listed for this composition: 1.40 eV per formula unit

Record 6
Density functional theory data (GGA-PBEsol) for a geometry-optimized Ti3TcIr structure. Values from VASP.

Cell and atoms, written as Quantum ESPRESSO input:
```
&SYSTEM
  ibrav = 0, nat = 5, ntyp = 3
/
ATOMIC_SPECIES
Ti 47.87 Ti.upf
Ir 192.22 Ir.upf
Tc 98.00 Tc.upf
ATOMIC_POSITIONS crystal
Ti 0.000 0.000 0.500
Ti 0.000 0.500 0.000
Ir 0.500 0.500 0.500
Ti 0.500 0.000 0.000
Tc 0.000 0.000 0.000
CELL_PARAMETERS angstrom
-1.161 3.731 2.242
-4.287 -1.379 0.075
0.748 -2.114 3.906
```

Results
- Crystal system: cubic
- Space group: Pm-3m
- Energy of formation: 72 kJ/mol of atoms

| no. | raw total energy (eV/atom) | magnetic moment (μB/atom) |
| --- | --- | --- |
| 1 | -10.792 | 0.000 |
| 2 | -6.510 | 0.000 |
| 3 | -6.198 | 0.066 |
| 4 | -6.997 | 0.000 |
| 5 | -6.647 | 0.000 |
| 6 | -8.470 | 0.000 |